# SCAN Hf3TcMo, PBEsol geometry
# Fermi-level density of states   1.0122 states/eV per atom
# VASP energy   -50.730 eV per atom
# Polymorph energy (0 for the lowest one)   0.000 eV per atom
# Energy of formation   0.86 eV per atom
data_Hf3TcMo
_symmetry_space_group_name_H-M 'P m -3 m'
_symmetry_Int_Tables_number 221
_symmetry_space_group_name_Hall '-P 4 2 3'
_cell_length_a 4.825
_cell_length_b 4.825
_cell_length_c 4.825
_cell_angle_alpha 90.00
_cell_angle_beta 90.00
_cell_angle_gamma 90.00
loop_
_atom_site_label
_atom_site_type_symbol
_atom_site_fract_x
_atom_site_fract_y
_atom_site_fract_z
Hf1 Hf 0.000 0.000 0.500
Tc1 Tc 0.000 0.000 0.000
Mo1 Mo 0.500 0.500 0.500

=====

# SCAN MgCdCu2, PBEsol geometry
# Fermi-level density of states   0.3005 states/eV per atom
# VASP energy   -16.474 eV per atom
# Energy of formation   -0.03 eV per atom
data_MgCdCu2
_symmetry_space_group_name_H-M 'A m m 2'
_symmetry_Int_Tables_number 38
_cell_length_a 4.212
_cell_length_b 2.859
_cell_length_c 10.173
_cell_angle_alpha 90.00
_cell_angle_beta 90.00
_cell_angle_gamma 90.00
loop_
_symmetry_equiv_pos_as_xyz
'x,y,z'
'-x,-y,z'
'-x,y,z'
'x,-y,z'
'x,y+1/2,z+1/2'
'-x,-y+1/2,z+1/2'
'-x,y+1/2,z+1/2'
'x,-y+1/2,z+1/2'
loop_
_atom_site_label
_atom_site_type_symbol
_atom_site_fract_x
_atom_site_fract_y
_atom_site_fract_z
Mg1 Mg 0.000 0.000 0.000
Cd1 Cd 0.500 0.000 0.670
Cu1 Cu 0.000 0.000 0.274
Cu2 Cu 0.500 0.000 0.401

=====

# SCAN Cd2BiHF, PBEsol geometry
# Fermi-level density of states   0.1565 states/eV per atom
# VASP energy   -29.369 eV per atom
data_Cd2BiHF
_symmetry_space_group_name_H-M 'P 4/m m m'
_symmetry_Int_Tables_number 123
_symmetry_space_group_name_Hall '-P 4 2'
_cell_length_a 5.650
_cell_length_b 5.650
_cell_length_c 3.904
_cell_angle_alpha 90.00
_cell_angle_beta 90.00
_cell_angle_gamma 90.00
loop_
_atom_site_label
_atom_site_type_symbol
_atom_site_fract_x
_atom_site_fract_y
_atom_site_fract_z
Cd1 Cd 0.000 0.500 0.000
Bi1 Bi 0.000 0.000 0.000
H1 H 0.000 0.000 0.500
F1 F 0.500 0.500 0.500

=====

# SCAN Zr2CdPd2, PBEsol geometry
# Fermi-level density of states   0.7048 states/eV per atom
# VASP energy   -31.708 eV per atom
# Energy of formation   -0.24 eV per atom
data_Zr2CdPd2
_symmetry_space_group_name_H-M 'I 4/m m m'
_symmetry_Int_Tables_number 139
_symmetry_space_group_name_Hall '-I 4 2'
_cell_length_a 3.670
_cell_length_b 3.670
_cell_length_c 14.867
_cell_angle_alpha 90.00
_cell_angle_beta 90.00
_cell_angle_gamma 90.00
loop_
_atom_site_label
_atom_site_type_symbol
_atom_site_fract_x
_atom_site_fract_y
_atom_site_fract_z
Zr1 Zr 0.000 0.000 0.113
Cd1 Cd 0.000 0.000 0.500
Pd1 Pd 0.000 0.500 0.250

=====

# SCAN RbBe3ZnF9, PBEsol geometry
# Fermi-level density of states   0.0000 states/eV per atom
# VASP energy   -8.884 eV per atom
# E_form (uncorrected)   -3.23 eV/atom
data_RbBe3ZnF9
_symmetry_space_group_name_H-M 'P -6 c 2'
_symmetry_Int_Tables_number 188
_symmetry_space_group_name_Hall 'P -6c 2'
_cell_length_a 6.6776
_cell_length_b 6.6776
_cell_length_c 9.6909
_cell_angle_alpha 90.00
_cell_angle_beta 90.00
_cell_angle_gamma 120.00
loop_
_atom_site_label
_atom_site_type_symbol
_atom_site_fract_x
_atom_site_fract_y
_atom_site_fract_z
Rb1 Rb 0.0000 0.0000 0.0000
Be1 Be 0.4548 0.0560 0.2500
Zn1 Zn 0.3333 0.6667 0.0000
F1 F 0.0819 0.4183 0.1186
F2 F 0.4243 0.1468 0.7500

=====

# SCAN BeNiP2Cl, PBEsol geometry
# Fermi-level density of states   0.6720 states/eV per atom
# VASP energy   -9.017 eV per atom
# E_form (uncorrected)   0.84 eV/atom
data_BeNiP2Cl
_symmetry_space_group_name_H-M 'P 4/m m m'
_symmetry_Int_Tables_number 123
_symmetry_space_group_name_Hall '-P 4 2'
_cell_length_a 4.156
_cell_length_b 4.156
_cell_length_c 4.358
_cell_angle_alpha 90.00
_cell_angle_beta 90.00
_cell_angle_gamma 90.00
loop_
_atom_site_label
_atom_site_type_symbol
_atom_site_fract_x
_atom_site_fract_y
_atom_site_fract_z
Be1 Be 0.000 0.000 0.000
Ni1 Ni 0.500 0.500 0.500
P1 P 0.000 0.500 0.000
Cl1 Cl 0.000 0.000 0.500

=====

# SCAN NaLiI2, PBEsol geometry
# Fermi-level density of states   0.0000 states/eV per atom
# VASP energy   -21.354 eV per atom
# E_form (uncorrected)   -1.33 eV/atom
data_NaLiI2
_symmetry_space_group_name_H-M 'I -4 2 d'
_symmetry_Int_Tables_number 122
_symmetry_space_group_name_Hall 'I -4 2bw'
_cell_length_a 6.890
_cell_length_b 6.890
_cell_length_c 12.464
_cell_angle_alpha 90.00
_cell_angle_beta 90.00
_cell_angle_gamma 90.00
loop_
_atom_site_label
_atom_site_type_symbol
_atom_site_fract_x
_atom_site_fract_y
_atom_site_fract_z
Na1 Na 0.000 0.000 0.000
Li1 Li 0.000 0.000 0.500
I1 I 0.212 0.250 0.625

=====

# SCAN V2ReW, PBEsol geometry
# Fermi-level density of states   0.4125 states/eV per atom
# VASP energy   -44.276 eV per atom
# Energy of formation   -0.34 eV per atom
data_V2ReW
_symmetry_space_group_name_H-M 'F m -3 m'
_symmetry_Int_Tables_number 225
_symmetry_space_group_name_Hall '-F 4 2 3'
_cell_length_a 6.053
_cell_length_b 6.053
_cell_length_c 6.053
_cell_angle_alpha 90.00
_cell_angle_beta 90.00
_cell_angle_gamma 90.00
loop_
_atom_site_label
_atom_site_type_symbol
_atom_site_fract_x
_atom_site_fract_y
_atom_site_fract_z
V1 V 0.250 0.250 0.250
Re1 Re 0.000 0.000 0.000
W1 W 0.000 0.000 0.500

=====

# SCAN Ho2MgSi2, PBEsol geometry
# Fermi-level density of states   0.3092 states/eV per atom
# VASP energy   -25.340 eV per atom
# E_form (uncorrected)   -0.74 eV/atom
data_Ho2MgSi2
_symmetry_space_group_name_H-M 'P 4/m b m'
_symmetry_Int_Tables_number 127
_symmetry_space_group_name_Hall '-P 4 2ab'
_cell_length_a 7.083
_cell_length_b 7.083
_cell_length_c 4.129
_cell_angle_alpha 90.00
_cell_angle_beta 90.00
_cell_angle_gamma 90.00
loop_
_atom_site_label
_atom_site_type_symbol
_atom_site_fract_x
_atom_site_fract_y
_atom_site_fract_z
Ho1 Ho 0.178 0.322 0.000
Mg1 Mg 0.000 0.000 0.500
Si1 Si 0.119 0.619 0.500

=====

# SCAN ZrSbPS2, PBEsol geometry
# Fermi-level density of states   0.6683 states/eV per atom
# VASP energy   -19.716 eV per atom
# E_form (uncorrected)   -0.19 eV/atom
data_ZrSbPS2
_symmetry_space_group_name_H-M 'P 4/m m m'
_symmetry_Int_Tables_number 123
_symmetry_space_group_name_Hall '-P 4 2'
_cell_length_a 4.812
_cell_length_b 4.812
_cell_length_c 5.154
_cell_angle_alpha 90.00
_cell_angle_beta 90.00
_cell_angle_gamma 90.00
loop_
_atom_site_label
_atom_site_type_symbol
_atom_site_fract_x
_atom_site_fract_y
_atom_site_fract_z
Zr1 Zr 0.000 0.000 0.000
Sb1 Sb 0.500 0.500 0.500
P1 P 0.000 0.000 0.500
S1 S 0.000 0.500 0.000

=====

# SCAN BaAl2Sb, PBEsol geometry
# Fermi-level density of states   0.5773 states/eV per atom
# VASP energy   -23.274 eV per atom
# E_form (uncorrected)   -0.19 eV/atom
data_BaAl2Sb
_symmetry_space_group_name_H-M 'C 1 2/m 1'
_symmetry_Int_Tables_number 12
_cell_length_a 9.364
_cell_length_b 4.132
_cell_length_c 6.170
_cell_angle_alpha 90.00
_cell_angle_beta 107.48
_cell_angle_gamma 90.00
loop_
_symmetry_equiv_pos_as_xyz
'x,y,z'
'-x,-y,-z'
'-x,y,-z'
'x,-y,z'
'x+1/2,y+1/2,z'
'-x+1/2,-y+1/2,-z'
'-x+1/2,y+1/2,-z'
'x+1/2,-y+1/2,z'
loop_
_atom_site_label
_atom_site_type_symbol
_atom_site_fract_x
_atom_site_fract_y
_atom_site_fract_z
Ba1 Ba 0.000 0.000 0.000
Al1 Al 0.229 0.000 0.649
Sb1 Sb 0.000 0.500 0.500

=====

# SCAN YPbBr2, PBEsol geometry
# Fermi-level density of states   0.3888 states/eV per atom
# VASP energy   -36.608 eV per atom
# Polymorph energy (0 for the lowest one)   0.197 eV per atom
# E_form (uncorrected)   -0.97 eV/atom
data_YPbBr2
_symmetry_space_group_name_H-M 'I m m 2'
_symmetry_Int_Tables_number 44
_cell_length_a 3.607
_cell_length_b 5.003
_cell_length_c 11.961
_cell_angle_alpha 90.00
_cell_angle_beta 90.00
_cell_angle_gamma 90.00
loop_
_symmetry_equiv_pos_as_xyz
'x,y,z'
'-x,-y,z'
'-x,y,z'
'x,-y,z'
'x+1/2,y+1/2,z+1/2'
'-x+1/2,-y+1/2,z+1/2'
'-x+1/2,y+1/2,z+1/2'
'x+1/2,-y+1/2,z+1/2'
loop_
_atom_site_label
_atom_site_type_symbol
_atom_site_fract_x
_atom_site_fract_y
_atom_site_fract_z
Y1 Y 0.000 0.000 0.000
Pb1 Pb 0.000 0.500 0.256
Br1 Br 0.000 0.000 0.458
Br2 Br 0.000 0.500 0.685